This record from Alexandria describes a geometry-optimized TbPr7Sm12 structure. The functional is PBE.

The structure belongs to space group Im-3 (No. 204); the cell edges are 11.5716, 11.5716 and 11.5716 Å and the angles 90.00°, 90.00° and 90.00°. The inequivalent atoms are Tb at (0.0000, 0.0000, 0.0000), Pr at (0.0000, 0.0000, 0.5000), Pr at (0.2500, 0.2500, 0.2500) and Sm at (0.0000, 0.2472, 0.2466).

The volume comes out at 38.74 Å³ per atom. The calculation puts the formation energy at 0.60 eV per atom. The calculation puts the energy above the lowest structure with this stoichiometry at 377 meV per atom.


This record from Alexandria describes a geometry-optimized TbPrSm structure. The functional is PBE.

The structure belongs to space group Cmmm (No. 65); the cell edges are 11.6774, 11.7782 and 3.4935 Å and the angles 90.00°, 90.00° and 90.00°. The inequivalent atoms are Tb at (0.0000, 0.0000, 0.0000), Tb at (0.0000, 0.5000, 0.5000), Pr at (0.0000, 0.2390, 0.5000) and Sm at (0.2384, 0.5000, 0.0000).

The volume comes out at 40.04 Å³ per atom. The calculation puts the formation energy at 0.62 eV per atom. The calculation puts the energy above the lowest structure with this stoichiometry at 601 meV per atom.


This record from Alexandria describes a geometry-optimized TbPrSm structure. The functional is PBE.

The structure belongs to space group Imm2 (No. 44); the cell edges are 3.6414, 5.1319 and 10.9090 Å and the angles 90.00°, 90.00° and 90.00°. The inequivalent atoms are Tb at (0.0000, 0.0000, 0.0000), Pr at (0.0000, 0.0000, 0.6672) and Sm at (0.0000, 0.0000, 0.3351).

The volume comes out at 33.98 Å³ per atom. The calculation puts the formation energy at 0.02 eV per atom. The calculation puts the energy above the lowest structure with this stoichiometry at 0 meV per atom.


This record from Alexandria describes a geometry-optimized Tb5Pr4Sm3 structure. The functional is PBE.

The structure belongs to space group C2/m (No. 12); the cell edges are 16.2719, 6.0142 and 9.4498 Å and the angles 90.00°, 116.26° and 90.00°. The inequivalent atoms are Tb at (0.0000, 0.0000, 0.0000), Tb at (0.0718, 0.5000, 0.6984), Tb at (0.1718, 0.5000, 0.3881), Pr at (0.0838, 0.0000, 0.4438), Pr at (0.2128, 0.0000, 0.8808), Sm at (0.0000, 0.5000, 0.0000) and Sm at (0.2095, 0.0000, 0.2314).

The volume comes out at 34.56 Å³ per atom. The calculation puts the formation energy at 0.21 eV per atom. The calculation puts the energy above the lowest structure with this stoichiometry at 198 meV per atom.


This record from Alexandria describes a geometry-optimized Tb3Pr4Sm8 structure. The functional is PBE.

The structure belongs to space group C2/m (No. 12); the cell edges are 13.6662, 12.9507 and 6.8890 Å and the angles 90.00°, 120.15° and 90.00°. The inequivalent atoms are Tb at (0.0000, 0.0000, 0.0000), Tb at (0.2500, 0.2500, 0.5000), Pr at (0.0000, 0.5000, 0.0000), Pr at (0.0000, 0.5000, 0.5000), Pr at (0.2500, 0.2500, 0.0000), Sm at (0.0000, 0.1426, 0.5000), Sm at (0.0000, 0.2438, 0.0000), Sm at (0.2269, 0.0000, 0.9487) and Sm at (0.2363, 0.0000, 0.4827).

The volume comes out at 35.14 Å³ per atom. The calculation puts the formation energy at 0.34 eV per atom. The calculation puts the energy above the lowest structure with this stoichiometry at 226 meV per atom.


This record from Alexandria describes a geometry-optimized Tb6Pr12Sm structure. The functional is PBE.

The structure belongs to space group R-3 (No. 148, hexagonal axes); the cell edges are 14.9973, 14.9973 and 10.5617 Å and the angles 90.00°, 90.00° and 120.00°. The inequivalent atoms are Tb at (0.0503, 0.8357, 0.2587), Pr at (0.0534, 0.8003, 0.5792), Pr at (0.0641, 0.8389, 0.9185) and Sm at (0.0000, 0.0000, 0.5000).

The volume comes out at 36.09 Å³ per atom. The calculation puts the formation energy at 0.23 eV per atom. The calculation puts the energy above the lowest structure with this stoichiometry at 101 meV per atom.


This record from Alexandria describes a geometry-optimized Tb4Pr2Sm3 structure. The functional is PBE.

The structure belongs to space group C2/c (No. 15); the cell edges are 16.8287, 11.7500 and 6.1164 Å and the angles 90.00°, 96.85° and 90.00°. The inequivalent atoms are Tb at (0.0614, 0.1082, 0.0438), Tb at (0.2325, 0.3898, 0.8710), Pr at (0.1064, 0.3834, 0.2808), Sm at (0.0000, 0.3519, 0.7500) and Sm at (0.1642, 0.1507, 0.5876).

The volume comes out at 33.36 Å³ per atom. The calculation puts the formation energy at 0.09 eV per atom. The calculation puts the energy above the lowest structure with this stoichiometry at 73 meV per atom.


This record from Alexandria describes a geometry-optimized Tb4Pr2Sm5 structure. The functional is PBE.

The structure belongs to space group C2/m (No. 12); the cell edges are 24.2157, 3.4882 and 8.8737 Å and the angles 90.00°, 96.66° and 90.00°. The inequivalent atoms are Tb at (0.0458, 0.0000, 0.3621), Tb at (0.1775, 0.5000, 0.4717), Pr at (0.0920, 0.0000, 0.7362), Sm at (0.0000, 0.5000, 0.0000), Sm at (0.1407, 0.0000, 0.1214) and Sm at (0.2329, 0.0000, 0.8235).

The volume comes out at 33.84 Å³ per atom. The calculation puts the formation energy at 0.14 eV per atom. The calculation puts the energy above the lowest structure with this stoichiometry at 0 meV per atom.


no.,density (g/cm³)
1,6.32
2,6.22
3,7.33
4,7.25
5,7.07
6,6.77
7,7.57
8,7.45